Entry 1:
Density functional theory data (GGA-PBE) for crystalline Sc2In4IrPt at its relaxed geometry.

Cell: 7.4318 5.5131 5.5131 Å, 46.88 90.00 90.00°
Fractional positions:
In 0.2948 0.6375 0.6375
Sc 0.5000 0.9259 0.9259
Sc 0.0000 0.0707 0.0707
In 0.7975 0.3636 0.3636
In 0.2025 0.3636 0.3636
Pt 0.5000 0.2069 0.2069
Ir 0.0000 0.7944 0.7944
In 0.7052 0.6375 0.6375

Its electronic total energy is -5.344 eV/atom.

---

Entry 2:
Density functional theory data (GGA-PBE) for crystalline PrY2In3Ni3 at its relaxed geometry.

Cell: 3.9070 7.4773 7.4773 Å, 119.66 90.00 90.00°
Fractional positions:
Ni 0.0000 0.6683 0.3315
In 0.0000 0.7494 0.0057
Pr 0.5000 0.5872 0.5872
Y 0.5000 0.0000 0.4102
Y 0.5000 0.4102 0.0000
In 0.0000 0.0057 0.7494
Ni 0.5000 0.0014 0.0014
Ni 0.0000 0.3315 0.6683
In 0.0000 0.2463 0.2463

Its electronic total energy is -5.226 eV/atom.